This record from Alexandria via LeMat-Bulk describes a relaxed structure of NaCaOsW2. The functional is PBE. Values from VASP.

```
&SYSTEM
  ibrav = 0, nat = 5, ntyp = 4
/
ATOMIC_SPECIES
W 183.84 W.upf
Ca 40.08 Ca.upf
Os 190.23 Os.upf
Na 22.99 Na.upf
ATOMIC_POSITIONS angstrom
W -0.302 1.377 -1.917
W -2.101 -1.037 -0.414
Ca 0.000 0.000 0.000
Os 1.075 -1.641 -1.348
Na -1.328 -1.301 -3.679
CELL_PARAMETERS angstrom
-0.604 2.754 -3.834
2.151 -3.281 -2.696
-4.202 -2.075 -0.828
```

## Properties
Crystal system ... tetragonal
ΔE_f ... 3.13 eV per atom
Density ... 9.56 g/cm3